K2SrAg2 | PBE | relaxed

Cell and atoms, written as POSCAR:
```
K2SrAg2
1.0
8.4880 0.0000 0.0000
0.0000 8.4880 0.0000
0.0000 0.0000 5.3056
K Sr Ag
4 2 4
Cartesian
1.3869 2.8571 0.0000 K
2.8571 7.1010 0.0000 K
5.6309 1.3869 0.0000 K
7.1010 5.6309 0.0000 K
0.0000 0.0000 2.6528 Sr
4.2440 4.2440 2.6528 Sr
1.0151 5.2591 2.6528 Ag
3.2289 1.0151 2.6528 Ag
5.2591 7.4729 2.6528 Ag
7.4729 3.2289 2.6528 Ag
```

Values from the calculation:
- energy of formation from the pure elements (meV/atom) = 10
- space group = No. 127

***

CsTlTe2 | PBE | relaxed

Cell and atoms, written as POSCAR:
```
CsTlTe2
1.0
6.4018 -6.4013 0.0000
6.4018 6.4013 0.0000
-3.0762 0.0000 18.3473
Cs Tl Te
8 8 16
Cartesian
4.1816 4.0968 11.0342 Cs
4.0077 4.0968 16.4867 Cs
0.9674 0.7352 16.2175 Cs
2.5055 -0.7352 7.0439 Cs
7.2219 0.7352 11.3034 Cs
8.7600 -0.7352 2.1298 Cs
5.7197 -4.0968 1.8606 Cs
5.5458 -4.0968 7.3130 Cs
4.0407 3.9874 6.1863 Tl
7.2248 3.9874 2.9874 Tl
4.0145 0.7765 3.0722 Tl
2.4764 -0.7765 12.2458 Tl
7.2510 0.7765 6.1015 Tl
5.7129 -0.7765 15.2751 Tl
2.5026 -3.9874 15.3599 Tl
5.6867 -3.9874 12.1610 Tl
2.1809 2.4299 4.5908 Te
5.6327 5.7991 4.5868 Te
0.8107 0.7003 10.3779 Te
2.3488 -0.7003 1.2043 Te
5.7275 2.2323 1.2495 Te
5.5380 2.2323 7.9241 Te
4.0946 1.1073 13.7605 Te
0.6428 -2.4299 13.7644 Te
9.0846 2.4299 4.5829 Te
5.6327 -1.1073 4.5868 Te
4.1893 -2.2323 10.4232 Te
3.9999 -2.2323 17.0978 Te
7.3785 0.7003 17.1430 Te
8.9166 -0.7003 7.9693 Te
4.0946 -5.7991 13.7605 Te
7.5465 -2.4299 13.7565 Te
```

Values from the calculation:
- space group = No. 15
- ΔE_f (raw) (kJ/mol of atoms) = -53.7

***

Ac7Sm3Ho | PBE | relaxed

Cell and atoms, written as POSCAR:
```
Ac7Sm3Ho
1.0
6.1309 -5.5743 0.0000
6.1309 5.5743 0.0000
-0.8086 0.0000 6.8662
Ac Sm Ho
7 3 1
Cartesian
0.0000 0.0000 0.0000 Ac
2.8786 1.9056 1.7871 Ac
2.5961 0.0000 5.3038 Ac
2.8786 -1.9056 1.7871 Ac
8.5747 1.9056 5.0792 Ac
8.8572 0.0000 1.5625 Ac
8.5747 -1.9056 5.0792 Ac
6.1309 1.8112 0.0000 Sm
5.7267 0.0000 3.4331 Sm
6.1309 -1.8112 0.0000 Sm
-0.4043 0.0000 3.4331 Ho
```

Values from the calculation:
- energy of formation from the pure elements (meV/atom) = 277
- space group = No. 12

***

LaTeAs | PBE | relaxed

Cell and atoms, written as POSCAR:
```
LaTeAs
1.0
0.0000 3.6382 3.6382
3.6382 0.0000 3.6382
3.6382 3.6382 0.0000
La Te As
1 1 1
Cartesian
0.0000 0.0000 0.0000 La
1.8191 1.8191 1.8191 Te
3.6382 3.6382 3.6382 As
```

Values from the calculation:
- space group = No. 216
- ΔE_f (raw) (kJ/mol of atoms) = -54.5

***

no.,volume (A^3/atom)
1,38.22
2,46.99
3,42.67
4,32.10